A plane-wave DFT calculation with PBE was carried out for a relaxed MoPd3Rh crystal.

Unit cell a=2.756 b=4.502 c=6.753 alpha=109.41 beta=101.69 gamma=90.00
Fractional positions:
Mo  0.000  0.000  0.000
Pd  0.112  0.613  0.226
Pd  0.409  0.410  0.821
Pd  0.694  0.195  0.389
Rh  0.809  0.812  0.624

## Properties
As for the magnetic moment: 0.000 μB per atom. The polymorph energy (0 for the lowest one) comes out at 0.000 eV/atom. The calculated formation energy comes out at 0.07 eV/f.u.

=====

A plane-wave DFT calculation with PBE was carried out for a relaxed TbUBi2 crystal.

Unit cell a=5.453 b=5.453 c=3.866 alpha=90.00 beta=90.00 gamma=90.00
Fractional positions:
Tb  0.000  0.000  0.000
U  0.500  0.500  0.000
Bi  0.000  0.500  0.500
Bi  0.500  0.000  0.500

## Properties
As for the magnetic moment: 0.795 μB per atom. The polymorph energy (0 for the lowest one) comes out at 0.144 eV/atom. The calculated formation energy comes out at -0.85 eV/f.u.

=====

A plane-wave DFT calculation with PBE was carried out for a relaxed Pr6Cu2Pb crystal.

Unit cell a=8.948 b=8.948 c=8.948 alpha=117.16 beta=109.73 gamma=101.88
Fractional positions:
Pr  0.029  0.228  0.802
Pr  0.194  0.294  0.488
Pr  0.194  0.706  0.900
Pr  0.319  0.016  0.697
Pr  0.319  0.622  0.303
Pr  0.426  0.228  0.198
Pr  0.574  0.772  0.802
Pr  0.681  0.378  0.697
Pr  0.681  0.984  0.303
Pr  0.806  0.294  0.100
Pr  0.806  0.706  0.512
Pr  0.971  0.772  0.198
Cu  0.114  0.614  0.500
Cu  0.364  0.000  0.364
Cu  0.636  0.000  0.636
Cu  0.886  0.386  0.500
Pb  0.000  0.000  0.000
Pb  0.500  0.500  0.000

## Properties
As for the magnetic moment: 0.000 μB per atom. The calculated formation energy comes out at -1.62 eV/f.u.

=====

A plane-wave DFT calculation with PBE was carried out for a relaxed Cr2HgW crystal.

Unit cell a=8.644 b=8.644 c=8.644 alpha=19.83 beta=19.83 gamma=19.83
Fractional positions:
Cr  0.240  0.240  0.240
Cr  0.760  0.760  0.760
Hg  0.000  0.000  0.000
W  0.500  0.500  0.500

## Properties
As for the magnetic moment: 0.758 μB per atom. The calculated formation energy comes out at 2.32 eV/f.u.

=====

A plane-wave DFT calculation with PBE was carried out for a relaxed Ga2RhWC crystal.

Unit cell a=4.932 b=4.932 c=3.929 alpha=90.00 beta=90.00 gamma=90.00
Fractional positions:
Ga  0.000  0.500  0.000
Ga  0.500  0.000  0.000
Rh  0.000  0.000  0.500
W  0.500  0.500  0.000
C  0.500  0.500  0.500

## Properties
As for the magnetic moment: 0.270 μB per atom. The calculated formation energy comes out at 6.19 eV/f.u.

=====

A plane-wave DFT calculation with PBE was carried out for a relaxed Zr2PbBr crystal.

Unit cell a=9.714 b=9.714 c=9.714 alpha=19.77 beta=19.77 gamma=19.77
Fractional positions:
Zr  0.245  0.245  0.245
Zr  0.755  0.755  0.755
Pb  0.000  0.000  0.000
Br  0.500  0.500  0.500

## Properties
As for the magnetic moment: 0.000 μB per atom. The formation energy without anion corrections is -0.210 eV per atom.